# SrTaAsO, optimized geometry, DFT PBE
# **Magnetization**: 0.013 μB per atom
# **Total DFT energy (no corrections)**: -57.4 eV/cell
# **Calculated volume**: 149.6 Å³/cell
data_SrTaAsO
_chemical_formula_sum 'Sr2 Ta2 As2 O2'
_cell_length_a 4.1246
_cell_length_b 4.9480
_cell_length_c 7.3300
_cell_angle_alpha 90.00
_cell_angle_beta 90.00
_cell_angle_gamma 90.00
_symmetry_space_group_name_H-M 'P m c 21'
_symmetry_Int_Tables_number 26
_symmetry_space_group_name_Hall 'P 2c -2'
loop_
_atom_site_label
_atom_site_type_symbol
_atom_site_fract_x
_atom_site_fract_y
_atom_site_fract_z
_atom_site_occupancy
Sr1 Sr 0.0000 0.1683 0.0000 1
Ta1 Ta 0.5000 0.3416 0.3509 1
As1 As 0.5000 0.1764 0.6948 1
O1 O 0.0000 0.3370 0.3462 1

***

# Sc3Al3CuNi2, optimized geometry, DFT PBE
# **Magnetization**: 0.000 μB per atom
# **Total DFT energy (no corrections)**: -50.2 eV/cell
# **Calculated volume**: 145.8 Å³/cell
data_Sc3Al3CuNi2
_chemical_formula_sum 'Sc3 Al3 Cu1 Ni2'
_cell_length_a 6.8915
_cell_length_b 6.8915
_cell_length_c 3.5457
_cell_angle_alpha 90.00
_cell_angle_beta 90.00
_cell_angle_gamma 120.00
_symmetry_space_group_name_H-M 'P -6 2 m'
_symmetry_Int_Tables_number 189
_symmetry_space_group_name_Hall 'P -6 -2'
loop_
_atom_site_label
_atom_site_type_symbol
_atom_site_fract_x
_atom_site_fract_y
_atom_site_fract_z
_atom_site_occupancy
Sc1 Sc 0.0000 0.4136 0.0000 1
Al1 Al 0.0000 0.7457 0.5000 1
Cu1 Cu 0.0000 0.0000 0.0000 1
Ni1 Ni 0.3333 0.6667 0.5000 1